GGA-PBE HoNi2Ag, relaxed; DOS at the Fermi energy = 3.27 states/eV/cell; formation energy from the elements = -0.163 eV per atom; total magnetization = 0.00 μB per cell; uncorrected energy = -19.64 eV/cell; relative energy among the computed polymorphs = 3.82 kJ/mol of atoms
1.0
0.000 3.194 3.194
3.194 0.000 3.194
3.194 3.194 0.000
Ho Ni Ag
1 2 1
direct
0.000 0.000 0.000
0.250 0.250 0.250
0.750 0.750 0.750
0.500 0.500 0.500